A relaxed structure of NaUAgBr6, computed with PBE.

```
NaUAgBr6
1.0
7.1500 0.0000 0.0000
-3.5750 6.1921 0.0000
0.0000 0.0000 13.6408
Br Ag U Na
12 2 2 2
Cartesian
-1.0876 6.1125 1.7626
5.8374 2.1143 8.5830
-1.1748 2.1939 1.7626
-2.2624 4.0777 5.0578
1.1748 2.1939 5.0578
2.4002 3.9982 8.5830
2.4874 0.0796 8.5830
4.6626 0.0796 11.8782
2.2624 4.0777 1.7626
1.3126 2.1143 11.8782
1.0876 6.1125 5.0578
4.7498 3.9982 11.8782
0.0000 4.1281 10.2306
3.5750 2.0640 3.4102
0.0000 4.1281 3.4102
3.5750 2.0640 10.2306
0.0000 0.0000 6.8204
0.0000 0.0000 0.0000
```

Results
V ... 302 Å³/f.u.
Uncorrected formation energy ... -1.14 eV/atom
DFT total energy ... -3.97 eV per atom

A relaxed structure of Na2UAgBr8, computed with PBE.

```
Na2UAgBr8
1.0
-0.9340 6.0272 -3.2547
-6.4245 -1.7534 0.2919
-0.8056 4.3247 8.2298
Br Na U Ag
8 2 1 1
Cartesian
-6.1408 7.0674 6.2672
-2.3571 3.5345 3.2016
-2.3444 5.6153 -1.0007
-5.8070 5.0640 2.0653
-5.8197 2.9831 6.2676
-2.0233 1.5310 -1.0003
-5.3431 0.4355 1.4233
-2.8210 8.1630 3.8436
-4.2590 5.2702 4.4790
-3.9051 3.3282 0.7879
0.0000 0.0000 0.0000
-0.4028 2.1623 4.1149
```

Results
V ... 427 Å³/f.u.
Uncorrected formation energy ... -1.16 eV/atom
DFT total energy ... -3.67 eV per atom